A relaxed structure of Zr2TaTc, computed with PBEsol.

a = 3.201 Å, b = 3.201 Å, c = 7.228 Å
α = 90.00°, β = 90.00°, γ = 90.00°
Fractional positions:
1 Zr 0.000 0.000 0.000
2 Zr 0.500 0.500 0.293
3 Ta 0.000 0.000 0.565
4 Tc 0.500 0.500 0.766

Properties
Energy above the lowest structure with this stoichiometry ... 0.00 eV per formula unit
Space-group type ... No. 99